# Ba3CrO5 | Alexandria | PBE with a Hubbard U | relaxed
# Final energy: -6.60 eV per atom
data_Ba3CrO5
_chemical_formula_sum 'Ba12 Cr4 O20'
_space_group_name_H-M_alt 'I 4/m c m'
_space_group_IT_number 140
_space_group_name_Hall '-I 4 2c'
_cell_length_a 7.4096
_cell_length_b 7.4096
_cell_length_c 11.8550
_cell_angle_alpha 90.00
_cell_angle_beta 90.00
_cell_angle_gamma 90.00
loop_
_atom_site_label
_atom_site_fract_x
_atom_site_fract_y
_atom_site_fract_z
Ba1 0.0000 0.0000 0.2500
Ba2 0.1808 0.3192 0.0000
Cr1 0.0000 0.5000 0.2500
O1 0.0000 0.0000 0.0000
O2 0.1358 0.3642 0.3431